Record 1
First-principles (PBE) data for SrCrCo2 after structural relaxation, as listed in Alexandria.

Cell and atoms, written as CIF:
```
data_SrCrCo2
_chemical_formula_sum 'Sr3 Cr3 Co6'
_cell_length_a 3.9881
_cell_length_b 3.9881
_cell_length_c 16.8129
_cell_angle_alpha 90.00
_cell_angle_beta 90.00
_cell_angle_gamma 120.00
_space_group_name_H-M_alt 'R 3 m'
_space_group_IT_number 160
_space_group_name_Hall 'R 3 -2"'
loop_
_atom_site_label
_atom_site_fract_x
_atom_site_fract_y
_atom_site_fract_z
Sr1 0.0000 0.0000 0.0000
Cr1 0.0000 0.0000 0.1856
Co1 0.0000 0.0000 0.5166
Co2 0.0000 0.0000 0.8095
```

Raw total energy   -5.97 eV per atom
DOS(E_F)   3.57 states/eV/f.u.
Size of the total moment   2.49 μB per formula unit

Record 2
First-principles (PBE) data for NaPdNO2 after structural relaxation, as listed in Alexandria.

Cell and atoms, written as CIF:
```
data_NaPdNO2
_chemical_formula_sum 'Na1 Pd1 N1 O2'
_cell_length_a 4.178
_cell_length_b 4.178
_cell_length_c 3.709
_cell_angle_alpha 90.00
_cell_angle_beta 90.00
_cell_angle_gamma 90.00
_space_group_name_H-M_alt 'P 4/m m m'
_space_group_IT_number 123
_space_group_name_Hall '-P 4 2'
loop_
_atom_site_label
_atom_site_fract_x
_atom_site_fract_y
_atom_site_fract_z
Na1 0.000 0.000 0.000
Pd1 0.500 0.500 0.500
N1 0.500 0.500 0.000
O1 0.000 0.500 0.500
```

Formation energy from raw total energies   1.44 eV/f.u.
DOS(E_F)   4.13 states/eV/f.u.
Size of the total moment   0.69 μB per formula unit

Record 3
First-principles (PBE) data for Ta2NiRh after structural relaxation, as listed in Alexandria.

Cell and atoms, written as CIF:
```
data_Ta2NiRh
_chemical_formula_sum 'Ta2 Ni1 Rh1'
_cell_length_a 3.215
_cell_length_b 3.215
_cell_length_c 5.985
_cell_angle_alpha 90.00
_cell_angle_beta 90.00
_cell_angle_gamma 90.00
_space_group_name_H-M_alt 'P 4 m m'
_space_group_IT_number 99
_space_group_name_Hall 'P 4 -2'
loop_
_atom_site_label
_atom_site_fract_x
_atom_site_fract_y
_atom_site_fract_z
Ta1 0.000 0.000 0.000
Ta2 0.500 0.500 0.305
Ni1 0.000 0.000 0.509
Rh1 0.500 0.500 0.765
```

Raw total energy   -9.57 eV per atom
DOS(E_F)   2.78 states/eV/f.u.
Size of the total moment   0.00 μB per formula unit

Record 4
First-principles (PBE) data for Na3YSb2Se6 after structural relaxation, as listed in Alexandria.

Cell and atoms, written as CIF:
```
data_Na3YSb2Se6
_chemical_formula_sum 'Na6 Y2 Sb4 Se12'
_cell_length_a 7.216
_cell_length_b 12.502
_cell_length_c 7.427
_cell_angle_alpha 90.00
_cell_angle_beta 108.88
_cell_angle_gamma 90.00
_space_group_name_H-M_alt 'C 1 2/m 1'
_space_group_IT_number 12
_space_group_name_Hall '-C 2y'
loop_
_atom_site_label
_atom_site_fract_x
_atom_site_fract_y
_atom_site_fract_z
Na1 0.000 0.000 0.000
Na2 0.000 0.329 0.000
Y1 0.000 0.500 0.500
Sb1 0.000 0.166 0.500
Se1 0.243 0.334 0.730
Se2 0.245 0.000 0.732
```

Formation energy from raw total energies   -11.98 eV/f.u.
DOS(E_F)   0.00 states/eV/f.u.
Size of the total moment   0.00 μB per formula unit

Record 5
First-principles (PBE) data for TaMoRu2 after structural relaxation, as listed in Alexandria.

Cell and atoms, written as CIF:
```
data_TaMoRu2
_chemical_formula_sum 'Ta2 Mo2 Ru4'
_cell_length_a 3.785
_cell_length_b 3.987
_cell_length_c 8.278
_cell_angle_alpha 90.00
_cell_angle_beta 90.00
_cell_angle_gamma 90.00
_space_group_name_H-M_alt 'C m m 2'
_space_group_IT_number 35
_space_group_name_Hall 'C 2 -2'
loop_
_atom_site_label
_atom_site_fract_x
_atom_site_fract_y
_atom_site_fract_z
Ta1 0.000 0.000 0.000
Mo1 0.000 0.500 0.277
Ru1 0.000 0.000 0.526
Ru2 0.000 0.500 0.740
```

Raw total energy   -10.24 eV per atom
DOS(E_F)   4.46 states/eV/f.u.
Size of the total moment   0.00 μB per formula unit

Record 6
First-principles (PBE) data for TiCo after structural relaxation, as listed in Alexandria.

Cell and atoms, written as CIF:
```
data_TiCo
_chemical_formula_sum 'Ti8 Co8'
_cell_length_a 7.267
_cell_length_b 7.267
_cell_length_c 4.434
_cell_angle_alpha 90.00
_cell_angle_beta 90.00
_cell_angle_gamma 90.00
_space_group_name_H-M_alt 'P 4/m c c'
_space_group_IT_number 124
_space_group_name_Hall '-P 4 2c'
loop_
_atom_site_label
_atom_site_fract_x
_atom_site_fract_y
_atom_site_fract_z
Ti1 0.099 0.312 0.000
Co1 0.255 0.409 0.500
```

Raw total energy   -7.46 eV per atom
DOS(E_F)   1.31 states/eV/f.u.
Size of the total moment   0.00 μB per formula unit

Record 7
First-principles (PBE) data for FeSiAg after structural relaxation, as listed in Alexandria.

Cell and atoms, written as CIF:
```
data_FeSiAg
_chemical_formula_sum 'Fe2 Si2 Ag2'
_cell_length_a 2.762
_cell_length_b 3.189
_cell_length_c 9.555
_cell_angle_alpha 90.00
_cell_angle_beta 90.00
_cell_angle_gamma 90.00
_space_group_name_H-M_alt 'I m m 2'
_space_group_IT_number 44
_space_group_name_Hall 'I 2 -2'
loop_
_atom_site_label
_atom_site_fract_x
_atom_site_fract_y
_atom_site_fract_z
Fe1 0.000 0.000 0.000
Si1 0.000 0.000 0.593
Ag1 0.000 0.000 0.295
```

Formation energy from raw total energies   0.46 eV/f.u.
DOS(E_F)   1.66 states/eV/f.u.
Size of the total moment   0.96 μB per formula unit

Record 8
First-principles (PBE) data for LaTbTmSe3 after structural relaxation, as listed in Alexandria.

Cell and atoms, written as CIF:
```
data_LaTbTmSe3
_chemical_formula_sum 'La2 Tb2 Tm2 Se6'
_cell_length_a 7.999
_cell_length_b 4.114
_cell_length_c 10.252
_cell_angle_alpha 90.00
_cell_angle_beta 104.04
_cell_angle_gamma 90.00
_space_group_name_H-M_alt 'P 1 21/m 1'
_space_group_IT_number 11
_space_group_name_Hall '-P 2yb'
loop_
_atom_site_label
_atom_site_fract_x
_atom_site_fract_y
_atom_site_fract_z
La1 0.190 0.250 0.214
Tb1 0.331 0.750 0.911
Tm1 0.166 0.250 0.622
Se1 0.085 0.250 0.885
Se2 0.206 0.750 0.448
Se3 0.486 0.750 0.199
```

Formation energy from raw total energies   -9.97 eV/f.u.
DOS(E_F)   3.99 states/eV/f.u.
Size of the total moment   0.00 μB per formula unit

Record 9
First-principles (PBE) data for ThSi2TcMo after structural relaxation, as listed in Alexandria.

Cell and atoms, written as CIF:
```
data_ThSi2TcMo
_chemical_formula_sum 'Th2 Si4 Tc2 Mo2'
_cell_length_a 4.138
_cell_length_b 4.138
_cell_length_c 10.635
_cell_angle_alpha 90.00
_cell_angle_beta 90.00
_cell_angle_gamma 90.00
_space_group_name_H-M_alt 'I -4 m 2'
_space_group_IT_number 119
_space_group_name_Hall 'I -4 -2'
loop_
_atom_site_label
_atom_site_fract_x
_atom_site_fract_y
_atom_site_fract_z
Th1 0.000 0.000 0.000
Si1 0.000 0.000 0.382
Tc1 0.000 0.500 0.250
Mo1 0.000 0.500 0.750
```

Formation energy from raw total energies   -2.72 eV/f.u.
DOS(E_F)   5.27 states/eV/f.u.
Size of the total moment   0.00 μB per formula unit

Record 10
First-principles (PBE) data for UTiTc2 after structural relaxation, as listed in Alexandria.

Cell and atoms, written as CIF:
```
data_UTiTc2
_chemical_formula_sum 'U4 Ti4 Tc8'
_cell_length_a 6.485
_cell_length_b 6.485
_cell_length_c 6.485
_cell_angle_alpha 90.00
_cell_angle_beta 90.00
_cell_angle_gamma 90.00
_space_group_name_H-M_alt 'F m -3 m'
_space_group_IT_number 225
_space_group_name_Hall '-F 4 2 3'
loop_
_atom_site_label
_atom_site_fract_x
_atom_site_fract_y
_atom_site_fract_z
U1 0.000 0.000 0.000
Ti1 0.000 0.000 0.500
Tc1 0.250 0.250 0.250
```

Raw total energy   -10.18 eV per atom
DOS(E_F)   8.74 states/eV/f.u.
Size of the total moment   1.43 μB per formula unit

Record 11
First-principles (PBE) data for DyYEr2Sc4 after structural relaxation, as listed in Alexandria.

Cell and atoms, written as CIF:
```
data_DyYEr2Sc4
_chemical_formula_sum 'Dy1 Y1 Er2 Sc4'
_cell_length_a 4.863
_cell_length_b 4.863
_cell_length_c 9.372
_cell_angle_alpha 90.00
_cell_angle_beta 90.00
_cell_angle_gamma 90.00
_space_group_name_H-M_alt 'P 4/m m m'
_space_group_IT_number 123
_space_group_name_Hall '-P 4 2'
loop_
_atom_site_label
_atom_site_fract_x
_atom_site_fract_y
_atom_site_fract_z
Dy1 0.000 0.000 0.000
Y1 0.500 0.500 0.500
Er1 0.000 0.000 0.500
Er2 0.500 0.500 0.000
Sc1 0.000 0.500 0.249
```

Raw total energy   -5.63 eV per atom
DOS(E_F)   14.40 states/eV/f.u.
Size of the total moment   0.00 μB per formula unit

Record 12
First-principles (PBE) data for RbNa2In after structural relaxation, as listed in Alexandria.

Cell and atoms, written as CIF:
```
data_RbNa2In
_chemical_formula_sum 'Rb2 Na4 In2'
_cell_length_a 5.694
_cell_length_b 5.259
_cell_length_c 11.787
_cell_angle_alpha 90.00
_cell_angle_beta 103.45
_cell_angle_gamma 90.00
_space_group_name_H-M_alt 'P 1 21/m 1'
_space_group_IT_number 11
_space_group_name_Hall '-P 2yb'
loop_
_atom_site_label
_atom_site_fract_x
_atom_site_fract_y
_atom_site_fract_z
Rb1 0.190 0.250 0.360
Na1 0.068 0.750 0.079
Na2 0.360 0.250 0.761
In1 0.488 0.750 0.926
```

Raw total energy   -1.61 eV per atom
DOS(E_F)   1.86 states/eV/f.u.
Size of the total moment   0.00 μB per formula unit

Record 13
First-principles (PBE) data for RbSr3Cu4Cl12 after structural relaxation, as listed in Alexandria.

Cell and atoms, written as CIF:
```
data_RbSr3Cu4Cl12
_chemical_formula_sum 'Rb3 Sr9 Cu12 Cl36'
_cell_length_a 14.3485
_cell_length_b 14.3485
_cell_length_c 11.1254
_cell_angle_alpha 90.00
_cell_angle_beta 90.00
_cell_angle_gamma 120.00
_space_group_name_H-M_alt 'R 3 2'
_space_group_IT_number 155
_space_group_name_Hall 'R 3 2"'
loop_
_atom_site_label
_atom_site_fract_x
_atom_site_fract_y
_atom_site_fract_z
Rb1 0.0000 0.0000 0.0000
Sr1 0.0000 0.5533 0.0000
Cu1 0.0000 0.0000 0.5000
Cu2 0.0000 0.4363 0.5000
Cl1 0.0000 0.5970 0.5000
Cl2 0.0000 0.8450 0.5000
Cl3 0.0320 0.2006 0.1889
```

Formation energy from raw total energies   -29.98 eV/f.u.
DOS(E_F)   13.29 states/eV/f.u.
Size of the total moment   1.12 μB per formula unit

Record 14
First-principles (PBE) data for LiPmBiRh after structural relaxation, as listed in Alexandria.

Cell and atoms, written as CIF:
```
data_LiPmBiRh
_chemical_formula_sum 'Li4 Pm4 Bi4 Rh4'
_cell_length_a 6.871
_cell_length_b 6.871
_cell_length_c 6.871
_cell_angle_alpha 90.00
_cell_angle_beta 90.00
_cell_angle_gamma 90.00
_space_group_name_H-M_alt 'F -4 3 m'
_space_group_IT_number 216
_space_group_name_Hall 'F -4 2 3'
loop_
_atom_site_label
_atom_site_fract_x
_atom_site_fract_y
_atom_site_fract_z
Li1 0.000 0.000 0.000
Pm1 0.250 0.250 0.750
Bi1 0.250 0.250 0.250
Rh1 0.000 0.000 0.500
```

Raw total energy   -5.13 eV per atom
DOS(E_F)   0.25 states/eV/f.u.
Size of the total moment   0.00 μB per formula unit

Record 15
First-principles (PBE) data for YCdSe4 after structural relaxation, as listed in Alexandria.

Cell and atoms, written as CIF:
```
data_YCdSe4
_chemical_formula_sum 'Y4 Cd4 Se16'
_cell_length_a 8.261
_cell_length_b 8.261
_cell_length_c 8.261
_cell_angle_alpha 90.00
_cell_angle_beta 90.00
_cell_angle_gamma 90.00
_space_group_name_H-M_alt 'F -4 3 m'
_space_group_IT_number 216
_space_group_name_Hall 'F -4 2 3'
loop_
_atom_site_label
_atom_site_fract_x
_atom_site_fract_y
_atom_site_fract_z
Y1 0.000 0.000 0.000
Cd1 0.250 0.250 0.750
Se1 0.125 0.125 0.375
```

Formation energy from raw total energies   -0.47 eV/f.u.
DOS(E_F)   4.01 states/eV/f.u.
Size of the total moment   0.00 μB per formula unit

Record 16
First-principles (PBE) data for Sm2Ho3Tm4 after structural relaxation, as listed in Alexandria.

Cell and atoms, written as CIF:
```
data_Sm2Ho3Tm4
_chemical_formula_sum 'Sm8 Ho12 Tm16'
_cell_length_a 16.510
_cell_length_b 11.510
_cell_length_c 5.945
_cell_angle_alpha 90.00
_cell_angle_beta 97.02
_cell_angle_gamma 90.00
_space_group_name_H-M_alt 'C 1 2/c 1'
_space_group_IT_number 15
_space_group_name_Hall '-C 2yc'
loop_
_atom_site_label
_atom_site_fract_x
_atom_site_fract_y
_atom_site_fract_z
Sm1 0.105 0.113 0.279
Ho1 0.000 0.152 0.750
Ho2 0.164 0.348 0.586
Tm1 0.062 0.393 0.045
Tm2 0.233 0.109 0.873
```

Raw total energy   -4.46 eV per atom
DOS(E_F)   13.21 states/eV/f.u.
Size of the total moment   0.00 μB per formula unit

Record 17
First-principles (PBE) data for Li2YSc after structural relaxation, as listed in Alexandria.

Cell and atoms, written as CIF:
```
data_Li2YSc
_chemical_formula_sum 'Li4 Y2 Sc2'
_cell_length_a 3.666
_cell_length_b 5.216
_cell_length_c 10.313
_cell_angle_alpha 90.00
_cell_angle_beta 90.00
_cell_angle_gamma 90.00
_space_group_name_H-M_alt 'C m m m'
_space_group_IT_number 65
_space_group_name_Hall '-C 2 2'
loop_
_atom_site_label
_atom_site_fract_x
_atom_site_fract_y
_atom_site_fract_z
Li1 0.000 0.000 0.241
Y1 0.000 0.500 0.500
Sc1 0.000 0.500 0.000
```

Raw total energy   -3.93 eV per atom
DOS(E_F)   3.75 states/eV/f.u.
Size of the total moment   0.00 μB per formula unit

Record 18
First-principles (PBE) data for SmY2TaN4 after structural relaxation, as listed in Alexandria.

Cell and atoms, written as CIF:
```
data_SmY2TaN4
_chemical_formula_sum 'Sm1 Y2 Ta1 N4'
_cell_length_a 5.857
_cell_length_b 3.378
_cell_length_c 5.905
_cell_angle_alpha 90.00
_cell_angle_beta 109.08
_cell_angle_gamma 90.00
_space_group_name_H-M_alt 'P 1 2/m 1'
_space_group_IT_number 10
_space_group_name_Hall '-P 2y'
loop_
_atom_site_label
_atom_site_fract_x
_atom_site_fract_y
_atom_site_fract_z
Sm1 0.000 0.000 0.000
Y1 0.500 0.000 0.500
Y2 0.500 0.500 0.000
Ta1 0.000 0.500 0.500
N1 0.228 0.000 0.723
N2 0.237 0.500 0.275
```

Formation energy from raw total energies   -11.53 eV/f.u.
DOS(E_F)   1.92 states/eV/f.u.
Size of the total moment   0.00 μB per formula unit

Record 19
First-principles (PBE) data for SnHg6Pd12 after structural relaxation, as listed in Alexandria.

Cell and atoms, written as CIF:
```
data_SnHg6Pd12
_chemical_formula_sum 'Sn3 Hg18 Pd36'
_cell_length_a 11.1368
_cell_length_b 11.1368
_cell_length_c 9.6791
_cell_angle_alpha 90.00
_cell_angle_beta 90.00
_cell_angle_gamma 120.00
_space_group_name_H-M_alt 'R -3'
_space_group_IT_number 148
_space_group_name_Hall '-R 3'
loop_
_atom_site_label
_atom_site_fract_x
_atom_site_fract_y
_atom_site_fract_z
Sn1 0.0000 0.0000 0.0000
Hg1 0.0884 0.1782 0.7332
Pd1 0.0005 0.2522 0.0000
Pd2 0.0578 0.5284 0.1223
```

Raw total energy   -3.63 eV per atom
DOS(E_F)   11.59 states/eV/f.u.
Size of the total moment   0.00 μB per formula unit

Record 20
First-principles (PBE) data for La3ErTm2P6 after structural relaxation, as listed in Alexandria.

Cell and atoms, written as CIF:
```
data_La3ErTm2P6
_chemical_formula_sum 'La6 Er2 Tm4 P12'
_cell_length_a 7.133
_cell_length_b 12.353
_cell_length_c 7.124
_cell_angle_alpha 90.00
_cell_angle_beta 109.49
_cell_angle_gamma 90.00
_space_group_name_H-M_alt 'C 1 2/m 1'
_space_group_IT_number 12
_space_group_name_Hall '-C 2y'
loop_
_atom_site_label
_atom_site_fract_x
_atom_site_fract_y
_atom_site_fract_z
La1 0.000 0.000 0.000
La2 0.000 0.333 0.000
Er1 0.000 0.500 0.500
Tm1 0.000 0.167 0.500
P1 0.244 0.000 0.733
P2 0.245 0.333 0.733
```

Raw total energy   -6.63 eV per atom
DOS(E_F)   1.22 states/eV/f.u.
Size of the total moment   0.00 μB per formula unit